1.
VASP calculation (GGA-PBE) on BaZr2Ag after structural relaxation.

Properties
**Formation energy from the elements**: 0.428 eV/atom
**E above lowest polymorph**: 1.25 eV per formula unit
**Calculated density**: 6.78 Mg/m³
**Density of states at the Fermi level**: 1.098 states/eV/atom
**E_tot**: -5.04 eV per atom
**Size of the total moment**: 0.0 μB per formula unit

abc: 3.3500 5.5134 5.6720
angles: 90.00 90.00 90.00
Closest atoms and distances in Å follow each position.
Fractional positions:
Zr 0.5000 0.5000 0.0000  6 Zr 3.23-3.35, 4 Ba 3.29
Zr 0.0000 0.0000 0.0000  6 Zr 3.23-3.35, 4 Ag 3.29
Ag 0.5000 0.0000 0.5000  4 Ba 3.23, 4 Zr 3.29, 2 Ag 3.35
Ba 0.0000 0.5000 0.5000  4 Ag 3.23, 4 Zr 3.29, 2 Ba 3.35



2.
VASP calculation (GGA-PBE) on BaZr2Ag after structural relaxation.

Properties
**Formation energy from the elements**: 0.469 eV/atom
**E above lowest polymorph**: 1.41 eV per formula unit
**Calculated density**: 6.70 Mg/m³
**Density of states at the Fermi level**: 0.967 states/eV/atom
**E_tot**: -5.00 eV per atom
**Size of the total moment**: 0.0 μB per formula unit

abc: 6.4361 6.4361 6.4361
angles: 149.49 127.84 61.64
Closest atoms and distances in Å follow each position.
Fractional positions:
Ag 0.5225 0.5225 0.0000  2 Zr 2.93
Zr 0.9748 0.9748 0.0000  4 Zr 3.11-3.39, 4 Ag 3.34
Zr 0.7388 0.2388 0.5000  2 Ag 2.93, 2 Zr 3.11
Ba 0.2639 0.7639 0.5000  8 Zr 3.31-3.67, 2 Ag 3.32, 2 Ba 3.39



3.
VASP calculation (GGA-PBE) on BaZr2Ag after structural relaxation.

Properties
**Formation energy from the elements**: 0.495 eV/atom
**E above lowest polymorph**: 1.52 eV per formula unit
**Calculated density**: 6.78 Mg/m³
**Density of states at the Fermi level**: 1.099 states/eV/atom
**E_tot**: -4.97 eV per atom
**Size of the total moment**: 0.0 μB per formula unit

abc: 11.1291 11.1291 11.1291
angles: 17.16 17.16 17.16
Closest atoms and distances in Å follow each position.
Fractional positions:
Zr 0.9877 0.9877 0.9877  3 Ag 3.02, 6 Zr 3.32
Zr 0.5123 0.5123 0.5123  3 Ag 3.02, 6 Zr 3.32
Ag 0.2500 0.2500 0.2500  6 Zr 3.02, 6 Ag 3.32
Ba 0.7500 0.7500 0.7500  6 Ba 3.32, 6 Zr 3.68



4.
VASP calculation (GGA-PBE) on BaZrAg after structural relaxation.

Properties
**Formation energy from the elements**: 0.412 eV/atom
**E above lowest polymorph**: 0.46 eV per formula unit
**Calculated density**: 5.53 Mg/m³
**Density of states at the Fermi level**: 0.806 states/eV/atom
**E_tot**: -4.03 eV per atom
**Size of the total moment**: 0.0 μB per formula unit

abc: 4.7512 4.7512 5.1714
angles: 90.00 90.00 120.00
Closest atoms and distances in Å follow each position.
Fractional positions:
Zr 0.3333 0.6667 0.8334  3 Ag 2.74
Ag 0.0000 0.0000 0.8333  3 Zr 2.74
Ba 0.6667 0.3333 0.3333  6 Zr 3.77, 6 Ag 3.77



5.
VASP calculation (GGA-PBE) on BaZr2Ag after structural relaxation.

Properties
**Formation energy from the elements**: 0.644 eV/atom
**E above lowest polymorph**: 2.12 eV per formula unit
**Calculated density**: 7.25 Mg/m³
**Density of states at the Fermi level**: 1.285 states/eV/atom
**E_tot**: -4.82 eV per atom
**Size of the total moment**: 0.0 μB per formula unit

abc: 5.3589 5.3589 3.4121
angles: 90.00 90.00 90.00
Closest atoms and distances in Å follow each position.
Fractional positions:
Zr 0.5000 0.5000 0.0000  4 Ba 3.18, 4 Ag 3.18, 2 Zr 3.41
Zr 0.0000 0.0000 0.0000  4 Ba 3.18, 4 Ag 3.18, 2 Zr 3.41
Ba 0.0000 0.5000 0.5000  8 Zr 3.18, 2 Ba 3.41
Ag 0.5000 0.0000 0.5000  8 Zr 3.18, 2 Ag 3.41



6.
VASP calculation (GGA-PBE) on BaZr2Ag after structural relaxation.

Properties
**Formation energy from the elements**: 0.552 eV/atom
**E above lowest polymorph**: 1.75 eV per formula unit
**Calculated density**: 6.65 Mg/m³
**Density of states at the Fermi level**: 1.677 states/eV/atom
**E_tot**: -4.92 eV per atom
**Size of the total moment**: 0.0 μB per formula unit

abc: 5.2426 4.5149 4.5149
angles: 90.00 90.00 90.00
Closest atoms and distances in Å follow each position.
Fractional positions:
Ag 0.5000 0.5000 0.0000  4 Ba 3.19, 8 Zr 3.46
Zr 0.0000 0.5000 0.5000  4 Zr 3.19, 4 Ba 3.46, 4 Ag 3.46
Zr 0.0000 0.0000 0.0000  4 Zr 3.19, 4 Ba 3.46, 4 Ag 3.46
Ba 0.5000 0.0000 0.5000  4 Ag 3.19, 8 Zr 3.46



7.
VASP calculation (GGA-PBE) on Ba2ZrAg2 after structural relaxation.

Properties
**Formation energy from the elements**: 0.180 eV/atom
**Calculated density**: 5.96 Mg/m³
**Density of states at the Fermi level**: 1.093 states/eV/atom
**E_tot**: -3.44 eV per atom
**Size of the total moment**: 1.6 μB per formula unit

abc: 7.8122 7.8122 5.3135
angles: 90.00 90.00 90.00
Closest atoms and distances in Å follow each position.
Fractional positions:
Ba 0.3253 0.1747 0.5000  6 Ag 3.39-3.60
Ba 0.8253 0.3253 0.5000  6 Ag 3.39-3.60
Ba 0.6747 0.8253 0.5000  6 Ag 3.39-3.60
Ba 0.1747 0.6747 0.5000  6 Ag 3.39-3.60
Ag 0.3660 0.8660 0.0000  1 Ag 2.96, 2 Zr 3.04
Ag 0.6340 0.1340 0.0000  1 Ag 2.96, 2 Zr 3.04
Ag 0.1340 0.3660 0.0000  1 Ag 2.96, 2 Zr 3.04
Ag 0.8660 0.6340 0.0000  1 Ag 2.96, 2 Zr 3.04
Zr 0.0000 0.0000 0.0000  4 Ag 3.04
Zr 0.5000 0.5000 0.0000  4 Ag 3.04



8.
VASP calculation (GGA-PBE) on BaZrAg4 after structural relaxation.

Properties
**Formation energy from the elements**: 0.189 eV/atom
**Calculated density**: 7.87 Mg/m³
**Density of states at the Fermi level**: 1.245 states/eV/atom
**E_tot**: -3.46 eV per atom
**Size of the total moment**: 1.7 μB per formula unit

abc: 5.8176 5.8176 5.8176
angles: 60.00 60.00 60.00
Closest atoms and distances in Å follow each position.
Fractional positions:
Ba 0.7500 0.7500 0.7500  12 Ag 3.41, 4 Zr 3.56
Ag 0.3737 0.3737 0.8788  6 Ag 2.88-2.94
Ag 0.3737 0.8788 0.3737  6 Ag 2.88-2.94
Ag 0.3737 0.3737 0.3737  6 Ag 2.88-2.94
Ag 0.8788 0.3737 0.3737  6 Ag 2.88-2.94
Zr 0.0000 0.0000 0.0000  12 Ag 3.41, 4 Ba 3.56